Computed, not measured: a crystal of La3BiIr relaxed with PBEsol at the SCAN level of DFT.

Cell lengths 6.523, 6.523, 11.006 Å; angles 90.00, 90.00, 139.96 degrees
Atoms (fractional coordinates):
1 La 0.052 0.948 0.750
2 La 0.353 0.647 0.538
3 La 0.353 0.647 0.962
4 La 0.647 0.353 0.038
5 La 0.647 0.353 0.462
6 La 0.948 0.052 0.250
7 Bi 0.240 0.760 0.250
8 Bi 0.760 0.240 0.750
9 Ir 0.000 0.000 0.000
10 Ir 0.000 0.000 0.500

Results
As for the density of states at the Fermi level: 8.1 states/eV per cell. The symmetry is Cmcm, No. 63. Its formation energy is -4.67 eV per formula unit. Its calculated volume is 30.12 Å³ per atom.

---

Computed, not measured: a crystal of HfIr2S relaxed with PBEsol at the SCAN level of DFT.

Cell lengths 7.216, 7.216, 7.216 Å; angles 138.60, 138.60, 59.98 degrees
Atoms (fractional coordinates):
1 Hf 0.000 0.000 0.000
2 Hf 0.750 0.250 0.500
3 Ir 0.199 0.625 0.074
4 Ir 0.375 0.449 0.574
5 Ir 0.551 0.125 0.926
6 Ir 0.875 0.801 0.426
7 S 0.250 0.750 0.500
8 S 0.500 0.500 0.000

Results
As for the density of states at the Fermi level: 2.0 states/eV per cell. The symmetry is I-42d, No. 122. The value obtained for the uncorrected formation energy is -240 meV per atom. Its calculated volume is 20.33 Å³ per atom.

---

Which value of calculated volume does entry 2 give? 20.33 Å³ per atom

---

What is the calculated volume in the first record? 30.12 Å³ per atom

---

Number 2 is which compound? HfIr2S

---

Which of these has the highest calculated volume? La3BiIr